No. 1
A plane-wave DFT calculation with PBE was carried out for crystalline HoNi6P2 at its relaxed geometry.

The structure belongs to space group P4/mmm (No. 123); the cell edges are 3.8116, 3.8116 and 7.8185 Å and the angles 90.00°, 90.00° and 90.00°. The asymmetric unit holds Ho at (0.0000, 0.0000, 0.0000), Ni at (0.0000, 0.0000, 0.5000), Ni at (0.0000, 0.5000, 0.2925), Ni at (0.5000, 0.5000, 0.5000) and P at (0.5000, 0.5000, 0.1500).

The value obtained for the formation energy is -469 kJ/mol of formula units. As for the total magnetization: 1.19 μB/f.u.


No. 2
A plane-wave DFT calculation with PBE was carried out for crystalline BaAsH2O4 at its relaxed geometry.

The structure belongs to space group I222 (No. 23); the cell edges are 4.5751, 6.3919 and 7.1736 Å and the angles 90.00°, 90.00° and 90.00°. The asymmetric unit holds Ba at (0.0000, 0.0000, 0.0000), As at (0.0000, 0.0000, 0.5000), H at (0.0000, 0.5000, 0.1569) and O at (0.2230, 0.3903, 0.8339).

As for the total magnetization: 0.00 μB/f.u. The calculation puts the total energy at -5.514 eV per atom.


No. 3
A plane-wave DFT calculation with PBE was carried out for crystalline Cu8Rh2Au at its relaxed geometry.

The structure belongs to space group P-1 (No. 2); the cell edges are 2.6778, 6.4203 and 9.0356 Å and the angles 107.76°, 98.35° and 90.08°. The asymmetric unit holds Cu at (0.0436, 0.3838, 0.0835), Cu at (0.1958, 0.0280, 0.3917), Cu at (0.3587, 0.7308, 0.7191), Cu at (0.4037, 0.2648, 0.8100), Rh at (0.2090, 0.6222, 0.4169) and Au at (0.5000, 0.0000, 0.0000).

The value obtained for the formation energy is 88 kJ/mol of formula units. As for the total magnetization: 0.00 μB/f.u.


No. 4
A plane-wave DFT calculation with PBE was carried out for crystalline ThCr4P12 at its relaxed geometry.

The structure belongs to space group Im-3 (No. 204); the cell edges are 8.1150, 8.1150 and 8.1150 Å and the angles 90.00°, 90.00° and 90.00°. The asymmetric unit holds Th at (0.0000, 0.0000, 0.0000), Cr at (0.2500, 0.2500, 0.2500) and P at (0.0000, 0.3537, 0.1410).

The value obtained for the formation energy is -649 kJ/mol of formula units. As for the total magnetization: 7.97 μB/f.u.


Q: Look up the total magnetization of the first one.
A: 1.19 μB/f.u.


Q: total magnetization of number 4 (ThCr4P12)?
A: 7.97 μB/f.u.


Q: The highest total magnetization belongs to which entry?
A: ThCr4P12